Computed, not measured: a geometry-optimized In2NiHg structure at the PBE level of DFT.

```
In2NiHg
1.0
-3.161 -0.073 -0.467
-0.038 -3.107 0.748
-1.223 1.937 7.979
Hg In Ni
1 2 1
direct
0.500 0.500 0.697
0.000 0.000 0.998
0.500 0.500 0.312
0.000 0.000 0.494
```

**ΔH_f (0 K)**: 8.96 kJ/mol of atoms
**Symmetry**: No. 99
**Crystal system**: tetragonal